Record 1
{
  "formula": "MnAlI2N",
  "functional": "PBE",
  "state": "relaxed",
  "formation_energy_uncorrected_ev_per_atom": 0.347,
  "e_above_lowest_polymorph_ev_per_fu": 0.41,
  "lattice_angstrom": [[5.752, 0.000, 0.000], [0.000, 5.752, 0.000], [0.000, 0.000, 3.564]],
  "species": ["Mn", "Al", "I", "I", "N"],
  "fractional_positions": [[0.000, 0.000, 0.000], [0.500, 0.500, 0.500], [0.000, 0.500, 0.500], [0.500, 0.000, 0.500], [0.500, 0.500, 0.000]]
}

Record 2
{
  "formula": "NaMnAlI2",
  "functional": "PBE",
  "state": "relaxed",
  "formation_energy_uncorrected_ev_per_atom": 0.340,
  "lattice_angstrom": [[5.589, 0.000, 0.000], [0.000, 5.589, 0.000], [0.000, 0.000, 5.946]],
  "species": ["Na", "Mn", "Al", "I", "I"],
  "fractional_positions": [[0.000, 0.000, 0.000], [0.000, 0.000, 0.500], [0.500, 0.500, 0.000], [0.000, 0.500, 0.500], [0.500, 0.000, 0.500]]
}